Compound: SrLaPmPr
Source: Alexandria via LeMat-Bulk
Functional: PBE
Structure: optimized geometry

VASP energy (eV per atom): -3.835
ΔH_f (0 K) (kcal/mol of atoms): 4.6
Magnetic moment (μB/cell): 0.5

Unit cell a=6.0594 b=6.0594 c=6.0594 alpha=60.00 beta=60.00 gamma=60.00
Closest atoms and distances in Å follow each position.
Positions (direct):
1 Pr 0.7500 0.7500 0.7500  4 Pm 3.71, 4 Sr 3.71
2 Sr 0.0000 0.0000 0.0000  4 Pr 3.71, 4 La 3.71
3 La 0.2500 0.2500 0.2500  4 Pm 3.71, 4 Sr 3.71
4 Pm 0.5000 0.5000 0.5000  4 La 3.71, 4 Pr 3.71

***

Compound: LaTbPm2Pr6
Source: Alexandria via LeMat-Bulk
Functional: PBE
Structure: optimized geometry

VASP energy (eV per atom): -4.663
ΔH_f (0 K) (kcal/mol of atoms): 2.5
Magnetic moment (μB/cell): 0.0

Unit cell a=10.0310 b=9.0652 c=9.0652 alpha=118.19 beta=94.71 gamma=94.71
Closest atoms and distances in Å follow each position.
Positions (direct):
1 La 0.2500 0.4044 0.5956  6 Pr 3.54-3.69, 2 Pm 3.70
2 La 0.7500 0.5956 0.4044  6 Pr 3.54-3.69, 2 Pm 3.70
3 Tb 0.2500 0.9768 0.0232  4 Pm 3.41-3.46, 4 Pr 3.66-3.72
4 Tb 0.7500 0.0232 0.9768  4 Pm 3.41-3.46, 4 Pr 3.66-3.72
5 Pm 0.4569 0.8104 0.7127  5 Pr 3.37-3.56, 2 Tb 3.41-3.46, 1 La 3.70
6 Pm 0.0431 0.2873 0.1896  5 Pr 3.37-3.56, 2 Tb 3.41-3.46, 1 La 3.70
7 Pm 0.5431 0.1896 0.2873  5 Pr 3.37-3.56, 2 Tb 3.41-3.46, 1 La 3.70
8 Pm 0.9569 0.7127 0.8104  5 Pr 3.37-3.56, 2 Tb 3.41-3.46, 1 La 3.70
9 Pr 0.0550 0.1150 0.7538  5 Pr 3.49-3.79, 1 Pm 3.51, 1 Tb 3.72
10 Pr 0.4450 0.2462 0.8850  5 Pr 3.49-3.79, 1 Pm 3.51, 1 Tb 3.72
11 Pr 0.9450 0.8850 0.2462  5 Pr 3.49-3.79, 1 Pm 3.51, 1 Tb 3.72
12 Pr 0.5550 0.7538 0.1150  5 Pr 3.49-3.79, 1 Pm 3.51, 1 Tb 3.72
13 Pr 0.3156 0.9785 0.4269  3 Pr 3.36-3.75, 1 Pm 3.54, 1 La 3.56, 1 Tb 3.66
14 Pr 0.1844 0.5731 0.0215  3 Pr 3.36-3.75, 1 Pm 3.54, 1 La 3.56, 1 Tb 3.66
15 Pr 0.6844 0.0215 0.5731  3 Pr 3.36-3.75, 1 Pm 3.54, 1 La 3.56, 1 Tb 3.66
16 Pr 0.8156 0.4269 0.9785  3 Pr 3.36-3.75, 1 Pm 3.54, 1 La 3.56, 1 Tb 3.66
17 Pr 0.1213 0.7047 0.4980  3 Pr 3.36-3.49, 3 Pm 3.37-3.56, 2 La 3.54-3.69
18 Pr 0.3787 0.5020 0.2953  3 Pr 3.36-3.49, 3 Pm 3.37-3.56, 2 La 3.54-3.69
19 Pr 0.8787 0.2953 0.5020  3 Pr 3.36-3.49, 3 Pm 3.37-3.56, 2 La 3.54-3.69
20 Pr 0.6213 0.4980 0.7047  3 Pr 3.36-3.49, 3 Pm 3.37-3.56, 2 La 3.54-3.69

***

Compound: La5TbPmPr2
Source: Alexandria via LeMat-Bulk
Functional: PBE
Structure: optimized geometry

VASP energy (eV per atom): -4.589
ΔH_f (0 K) (kcal/mol of atoms): 5.8
Magnetic moment (μB/cell): 0.0

Unit cell a=9.0290 b=9.0290 c=10.2345 alpha=116.17 beta=116.17 gamma=90.00
Closest atoms and distances in Å follow each position.
Positions (direct):
1 La 0.9324 0.4324 0.2815  1 Pr 3.16, 1 Tb 3.18
2 La 0.6508 0.1508 0.7185  1 Pr 3.16, 1 Tb 3.18
3 La 0.0676 0.5676 0.7185  1 Pr 3.16, 1 Tb 3.18
4 La 0.1508 0.0676 0.7185  1 Pr 3.16, 1 Tb 3.18
5 La 0.5676 0.6508 0.7185  1 Pr 3.16, 1 Tb 3.18
6 La 0.8492 0.9324 0.2815  1 Pr 3.16, 1 Tb 3.18
7 La 0.4324 0.3492 0.2815  1 Pr 3.16, 1 Tb 3.18
8 La 0.3492 0.8492 0.2815  1 Pr 3.16, 1 Tb 3.18
9 La 0.5000 0.5000 0.0000  4 Pr 3.61, 8 La 3.94, 2 Pm 4.00
10 La 0.0000 0.0000 0.0000  4 Pr 3.61, 8 La 3.94, 2 Pm 4.00
11 Tb 0.2500 0.7500 0.5000  4 La 3.18
12 Tb 0.7500 0.2500 0.5000  4 La 3.18
13 Pm 0.2500 0.2500 0.5000  10 La 3.68-4.00
14 Pm 0.7500 0.7500 0.5000  10 La 3.68-4.00
15 Pr 0.1178 0.3822 0.0000  1 Pr 3.01, 2 La 3.16
16 Pr 0.6178 0.1178 0.0000  1 Pr 3.01, 2 La 3.16
17 Pr 0.3822 0.8822 0.0000  1 Pr 3.01, 2 La 3.16
18 Pr 0.8822 0.6178 0.0000  1 Pr 3.01, 2 La 3.16

***

Compound: LaTbPmPr
Source: Alexandria via LeMat-Bulk
Functional: PBE
Structure: optimized geometry

VASP energy (eV per atom): -4.750
ΔH_f (0 K) (kcal/mol of atoms): 0.5
Magnetic moment (μB/cell): 0.0

Unit cell a=5.2017 b=5.2039 c=6.3526 alpha=114.18 beta=114.17 gamma=90.00
Closest atoms and distances in Å follow each position.
Positions (direct):
1 La 0.4454 0.4454 0.8908  4 Pr 3.67, 4 Tb 3.67, 4 Pm 3.68
2 Tb 0.6955 0.1955 0.3910  4 Pm 3.67, 4 La 3.67, 4 Pr 3.68
3 Pm 0.9457 0.9457 0.8913  4 Tb 3.67, 4 Pr 3.67, 4 La 3.68
4 Pr 0.1956 0.6956 0.3913  4 La 3.67, 4 Pm 3.67, 4 Tb 3.68

***

Compound: LaTbPm6Pr2
Source: Alexandria via LeMat-Bulk
Functional: PBE
Structure: optimized geometry

VASP energy (eV per atom): -4.645
ΔH_f (0 K) (kcal/mol of atoms): 2.7
Magnetic moment (μB/cell): 0.0

Unit cell a=10.0157 b=8.9980 c=8.9980 alpha=118.37 beta=94.79 gamma=94.79
Closest atoms and distances in Å follow each position.
Positions (direct):
1 La 0.2500 0.4043 0.5957  8 Pm 3.53-3.90, 2 Pr 3.70
2 La 0.7500 0.5957 0.4043  8 Pm 3.53-3.90, 2 Pr 3.70
3 Tb 0.2500 0.9810 0.0190  4 Pr 3.39-3.44, 4 Pm 3.66-3.71
4 Tb 0.7500 0.0190 0.9810  4 Pr 3.39-3.44, 4 Pm 3.66-3.71
5 Pm 0.0560 0.1199 0.7486  6 Pm 3.47-3.88, 1 Pr 3.51, 1 Tb 3.71
6 Pm 0.4440 0.2514 0.8801  6 Pm 3.47-3.88, 1 Pr 3.51, 1 Tb 3.71
7 Pm 0.9440 0.8801 0.2514  6 Pm 3.47-3.88, 1 Pr 3.51, 1 Tb 3.71
8 Pm 0.5560 0.7486 0.1199  6 Pm 3.47-3.88, 1 Pr 3.51, 1 Tb 3.71
9 Pm 0.3155 0.9734 0.4218  3 Pm 3.33-3.70, 1 Pr 3.49, 1 La 3.57, 1 Tb 3.66
10 Pm 0.1845 0.5782 0.0266  3 Pm 3.33-3.70, 1 Pr 3.49, 1 La 3.57, 1 Tb 3.66
11 Pm 0.6845 0.0266 0.5782  3 Pm 3.33-3.70, 1 Pr 3.49, 1 La 3.57, 1 Tb 3.66
12 Pm 0.8155 0.4218 0.9734  3 Pm 3.33-3.70, 1 Pr 3.49, 1 La 3.57, 1 Tb 3.66
13 Pm 0.1216 0.7066 0.4995  4 Pm 3.33-3.70, 3 Pr 3.36-3.55, 2 La 3.53-3.69
14 Pm 0.3784 0.5005 0.2934  4 Pm 3.33-3.70, 3 Pr 3.36-3.55, 2 La 3.53-3.69
15 Pm 0.8784 0.2934 0.5005  4 Pm 3.33-3.70, 3 Pr 3.36-3.55, 2 La 3.53-3.69
16 Pm 0.6216 0.4995 0.7066  4 Pm 3.33-3.70, 3 Pr 3.36-3.55, 2 La 3.53-3.69
17 Pr 0.4589 0.8126 0.7110  5 Pm 3.36-3.55, 2 Tb 3.39-3.44, 1 La 3.70
18 Pr 0.0411 0.2890 0.1874  5 Pm 3.36-3.55, 2 Tb 3.39-3.44, 1 La 3.70
19 Pr 0.5411 0.1874 0.2890  5 Pm 3.36-3.55, 2 Tb 3.39-3.44, 1 La 3.70
20 Pr 0.9589 0.7110 0.8126  5 Pm 3.36-3.55, 2 Tb 3.39-3.44, 1 La 3.70

***

Compound: LaTb2PmPr5
Source: Alexandria via LeMat-Bulk
Functional: PBE
Structure: optimized geometry

VASP energy (eV per atom): -4.620
ΔH_f (0 K) (kcal/mol of atoms): 3.2
Magnetic moment (μB/cell): 0.0

Unit cell a=5.7939 b=10.6974 c=10.7855 alpha=90.00 beta=90.00 gamma=105.71
Closest atoms and distances in Å follow each position.
Positions (direct):
1 La 0.5845 0.1690 0.9489  5 Pr 3.14-3.40
2 La 0.4155 0.8310 0.4489  5 Pr 3.14-3.40
3 Tb 0.8828 0.7657 0.8232  8 Pr 3.37-3.65
4 Tb 0.1129 0.2259 0.7330  7 Pr 3.48-3.76, 1 Pm 3.49, 2 La 3.76
5 Tb 0.1172 0.2343 0.3232  8 Pr 3.37-3.65
6 Tb 0.8871 0.7741 0.2330  7 Pr 3.48-3.76, 1 Pm 3.49, 2 La 3.76
7 Pm 0.8000 0.6001 0.5105  2 Tb 3.49-3.78, 8 Pr 3.57-3.89, 2 La 3.81
8 Pm 0.2000 0.3999 0.0105  2 Tb 3.49-3.78, 8 Pr 3.57-3.89, 2 La 3.81
9 Pr 0.3885 0.7771 0.0262  6 Pr 3.58-3.98, 4 Tb 3.63-3.66, 1 Pm 3.89
10 Pr 0.7195 0.4390 0.8125  1 La 3.15, 1 Tb 3.37, 2 Pr 3.49
11 Pr 0.4777 0.9554 0.7409  2 La 3.14-3.40
12 Pr 0.2950 0.5901 0.7037  3 Pr 3.49-3.78, 3 Pm 3.57-3.85, 3 Tb 3.65-3.76, 1 La 3.70
13 Pr 0.9837 0.9674 0.5251  2 La 3.32, 2 Tb 3.48-3.51, 2 Pr 3.72
14 Pr 0.6115 0.2229 0.5262  6 Pr 3.58-3.98, 4 Tb 3.63-3.66, 1 Pm 3.89
15 Pr 0.2805 0.5610 0.3125  1 La 3.15, 1 Tb 3.37, 2 Pr 3.49
16 Pr 0.5223 0.0446 0.2409  2 La 3.14-3.40
17 Pr 0.7050 0.4099 0.2037  3 Pr 3.49-3.78, 3 Pm 3.57-3.85, 3 Tb 3.65-3.76, 1 La 3.70
18 Pr 0.0163 0.0326 0.0251  2 La 3.32, 2 Tb 3.48-3.51, 2 Pr 3.72